Entry 1:
Density functional theory data (PBE-GGA) for a relaxed structure of Li2TmThTe4.

extended XYZ file:
```
8
Lattice="4.290 0.000 0.000 0.000 7.494 0.153 0.000 -2.596 7.106" Properties=species:S:1:pos:R:3 pbc="T T T"
Te 2.145 1.290 1.932
Te 0.000 -0.013 5.314
Te 0.000 4.911 1.946
Tm 2.145 3.747 0.077
Li 0.000 2.449 3.630
Th 0.000 0.000 0.000
Li 2.145 -1.298 3.553
Te 2.145 3.608 5.327
```

## Properties
Final energy = -4.7012 eV/atom
Density = 6676 kg/m³
Symmetry = P2/m (10)
Uncorrected formation energy = -9.3 eV/f.u.

=====

Entry 2:
Density functional theory data (PBE-GGA) for a relaxed structure of LiTmThTe3.

extended XYZ file:
```
12
Lattice="-0.253 -1.692 -3.790 8.929 1.376 -1.210 -0.469 -8.543 3.844" Properties=species:S:1:pos:R:3 pbc="T T T"
Th 6.604 -6.795 -0.829
Tm 5.836 -0.725 -1.206
Te 6.559 -3.638 0.046
Te 1.649 -5.220 -1.202
Li 7.793 -3.548 -2.357
Te 7.884 -1.094 -3.459
Te 4.464 -6.561 1.490
Te 0.324 -7.764 2.303
Th 1.603 -2.063 -0.327
Tm 2.372 -8.133 0.050
Li 0.415 -5.310 1.202
Te 3.743 -2.297 -2.646
```

## Properties
Final energy = -4.9652 eV/atom
Density = 7610 kg/m³
Symmetry = P2_1/m (11)
Uncorrected formation energy = -6.6 eV/f.u.

=====

Entry 3:
Density functional theory data (PBE-GGA) for a relaxed structure of LiTmTh2Te4.

extended XYZ file:
```
8
Lattice="4.152 0.000 0.000 0.000 7.207 0.144 0.000 -2.507 7.761" Properties=species:S:1:pos:R:3 pbc="T T T"
Te 2.076 1.138 1.787
Th 2.076 -1.253 3.881
Tm 2.076 3.603 0.072
Li 0.000 0.000 0.000
Te 2.076 3.562 6.118
Th 0.000 2.350 3.953
Te 0.000 -0.142 6.035
Te 0.000 4.843 1.871
```

## Properties
Final energy = -5.3450 eV/atom
Density = 8172 kg/m³
Symmetry = P2/m (10)
Uncorrected formation energy = -9.0 eV/f.u.

=====

Entry 4:
Density functional theory data (PBE-GGA) for a relaxed structure of Li4TmTh3Te8.

extended XYZ file:
```
16
Lattice="-7.713 1.528 3.473 -3.731 -5.317 -5.946 6.396 -3.008 4.891" Properties=species:S:1:pos:R:3 pbc="T T T"
Th -5.722 -1.894 -1.237
Te -4.690 -3.721 -3.606
Li -3.857 0.764 1.736
Te -5.432 -4.503 0.556
Tm -1.865 -2.658 -2.973
Te -0.358 -3.075 6.024
Te 3.605 -3.860 4.239
Li 3.198 -1.504 2.446
Te 0.384 -2.293 1.862
Te -1.580 -5.184 -1.228
Li -0.659 -0.740 4.182
Li 0.000 0.000 0.000
Th -2.524 -3.398 1.209
Te -8.653 -2.936 -1.821
Th 1.333 -4.162 -0.528
Te -3.468 -1.612 3.646
```

## Properties
Final energy = -4.8418 eV/atom
Density = 6828 kg/m³
Symmetry = R-3m (166)
Uncorrected formation energy = -17.9 eV/f.u.

=====

Entry 5:
Density functional theory data (PBE-GGA) for a relaxed structure of Li2ThUTe4.

extended XYZ file:
```
8
Lattice="4.301 0.000 0.000 0.000 7.483 0.142 0.000 -2.613 7.216" Properties=species:S:1:pos:R:3 pbc="T T T"
Te 0.000 -0.105 5.315
Th 2.151 3.741 0.071
Te 0.000 4.976 2.043
Li 2.151 -1.306 3.608
Te 2.151 1.200 1.941
U 0.000 0.000 0.000
Li 0.000 2.435 3.679
Te 2.151 3.671 5.417
```

## Properties
Final energy = -5.3078 eV/atom
Density = 7062 kg/m³
Symmetry = P2/m (10)
Uncorrected formation energy = -7.4 eV/f.u.

=====

Entry 6:
Density functional theory data (PBE-GGA) for a relaxed structure of LiY2ThTe4.

extended XYZ file:
```
8
Lattice="-1.324 2.537 3.257 -1.280 -6.088 4.222 6.394 -1.691 3.916" Properties=species:S:1:pos:R:3 pbc="T T T"
Th 2.557 -3.889 4.069
Te 3.905 -5.827 6.126
Y 2.535 0.423 3.587
Te -0.112 -3.702 5.723
Te -0.115 0.585 5.269
Te 3.902 -1.540 5.672
Y 6.394 -1.691 3.916
Li -1.302 -1.776 3.739
```

## Properties
Final energy = -5.5791 eV/atom
Density = 6492 kg/m³
Symmetry = P2/m (10)
Uncorrected formation energy = -9.8 eV/f.u.

=====

uncorrected formation energy of number 3 (LiTmTh2Te4)? -9.0 eV/f.u.

=====

Which of these has the lowest final energy? LiY2ThTe4

=====

Which formula does entry 2 have? LiTmThTe3